[1]
Here is a relaxed structure of La2Tl3GeSe6 from Alexandria. Energies are from GGA-PBE.

Geometry as extended XYZ:
```
12
Lattice="9.7814 -2.1669 0.0000 9.7814 2.1669 0.0000 -2.6156 0.0000 8.6178" Properties=species:S:1:pos:R:3 pbc="T T T"
La 2.3014 0.0000 2.8367
La 14.6459 0.0000 5.7811
Tl 1.1167 0.0000 7.2472
Tl 8.4736 0.0000 4.3089
Tl 15.8305 0.0000 1.3706
Ge 9.7814 0.0000 0.0000
Se -0.5296 0.0000 1.8332
Se 5.2160 0.0000 3.7300
Se 4.4888 0.0000 7.8134
Se 12.4584 0.0000 0.8044
Se 11.7313 0.0000 4.8878
Se 17.4768 0.0000 6.7846
```

Summary:
* energy relative to the elements, uncorrected: -1011 meV/atom
* SG: No. 12
* uncorrected energy: -54.61 eV for the cell shown

[2]
Here is a relaxed structure of LaTlGeSe4 from Alexandria. Energies are from GGA-PBE.

Geometry as extended XYZ:
```
14
Lattice="6.9902 0.0000 0.0000 0.0000 7.0023 0.0000 -2.6275 0.0000 8.6575" Properties=species:S:1:pos:R:3 pbc="T T T"
La 1.5101 1.7506 0.4988
La 2.8526 5.2517 8.1587
Tl 0.2747 1.7506 4.9019
Tl 4.0880 5.2517 3.7556
Ge -0.6000 5.2517 7.0485
Ge 4.9627 1.7506 1.6090
Se -0.5505 3.5867 1.9576
Se -0.5505 6.9168 1.9576
Se 2.6632 5.2517 0.6963
Se 1.2436 5.2517 5.5880
Se 3.1190 1.7506 3.0695
Se 1.6995 1.7506 7.9612
Se 4.9132 0.0856 6.6999
Se 4.9132 3.4156 6.6999
```

Summary:
* ΔE to the lowest computed polymorph: 17 meV/atom
* energy relative to the elements, uncorrected: -966 meV/atom
* SG: No. 11
* uncorrected energy: -65.22 eV for the cell shown

[3]
Here is a relaxed structure of LaTmGeSe from Alexandria. Energies are from GGA-PBE.

Geometry as extended XYZ:
```
4
Lattice="2.1186 1.2232 6.9301 -2.1186 1.2232 6.9301 0.0000 -2.4464 6.9301" Properties=species:S:1:pos:R:3 pbc="T T T"
La 0.0000 0.0000 0.0000
Tm 0.0000 0.0000 10.2274
Ge 0.0000 0.0000 15.6156
Se 0.0000 0.0000 4.9789
```

Summary:
* energy relative to the elements, uncorrected: -1380 meV/atom
* SG: No. 160
* uncorrected energy: -23.02 eV for the cell shown

[4]
Here is a relaxed structure of La2VGeSe from Alexandria. Energies are from GGA-PBE.

Geometry as extended XYZ:
```
5
Lattice="5.7950 0.0000 0.0000 0.0000 5.7950 0.0000 0.0000 0.0000 4.6556" Properties=species:S:1:pos:R:3 pbc="T T T"
La 0.0000 2.8975 0.0000
La 2.8975 0.0000 0.0000
V 0.0000 0.0000 2.3278
Ge 0.0000 0.0000 0.0000
Se 2.8975 2.8975 2.3278
```

Summary:
* energy relative to the elements, uncorrected: -243 meV/atom
* SG: No. 123
* uncorrected energy: -28.29 eV for the cell shown

[5]
Here is a relaxed structure of La2GeWSe from Alexandria. Energies are from GGA-PBE.

Geometry as extended XYZ:
```
5
Lattice="5.6329 0.0000 0.0000 0.0000 5.6329 0.0000 0.0000 0.0000 4.6989" Properties=species:S:1:pos:R:3 pbc="T T T"
La 0.0000 2.8164 0.0000
La 2.8164 0.0000 0.0000
Ge 0.0000 0.0000 2.3494
W 2.8164 2.8164 0.0000
Se 2.8164 2.8164 2.3494
```

Summary:
* energy relative to the elements, uncorrected: 108 meV/atom
* SG: No. 123
* uncorrected energy: -30.37 eV for the cell shown

[6]
Here is a relaxed structure of La6Si2Ge from Alexandria. Energies are from GGA-PBE.

Geometry as extended XYZ:
```
18
Lattice="-4.9442 5.1247 5.2520 4.9442 -5.1247 5.2520 4.9442 5.1247 -5.2520" Properties=species:S:1:pos:R:3 pbc="T T T"
La 4.9442 3.0748 -2.6459
La 2.6311 1.8452 0.0000
La 7.2572 1.8452 0.0000
La 2.1091 5.1247 -1.8511
La 2.8351 0.0000 3.4009
La 0.0000 2.0498 2.6062
La 4.9442 3.0748 2.6459
La 2.1091 5.1247 1.8511
La 2.8351 0.0000 7.1032
La -2.3130 3.2794 5.2520
La 2.3130 3.2794 5.2520
La 0.0000 2.0498 7.8979
Si 4.9442 0.0000 1.1877
Si 0.0000 3.8711 0.0000
Si 0.0000 6.3782 0.0000
Si 0.0000 5.1247 4.0643
Ge 0.0000 0.0000 0.0000
Ge 0.0000 0.0000 5.2520
```

Summary:
* ΔE to the lowest computed polymorph: 0 meV/atom
* energy relative to the elements, uncorrected: -544 meV/atom
* SG: No. 71
* uncorrected energy: -99.85 eV for the cell shown